Record 1
BePt2C: relaxed, GGA-PBE.

```
BePt2C
1.0
0.000 2.859 2.859
2.859 0.000 2.859
2.859 2.859 0.000
Be Pt C
1 2 1
Direct
0.000 0.000 0.000
0.250 0.250 0.250
0.750 0.750 0.750
0.500 0.500 0.500
```

Output
D(E_F): 4.77 states/eV per cell
ΔH_f (0 K): 306.2 kJ/mol of formula units



Record 2
Ti4Zn2Mo: relaxed, GGA-PBE.

```
Ti4Zn2Mo
1.0
-3.045 3.045 3.237
3.045 -3.045 3.237
3.045 3.045 -3.237
Ti Zn Mo
4 2 1
Direct
0.000 0.000 0.500
0.000 0.500 0.000
0.500 0.000 0.000
0.500 0.500 0.500
0.000 0.500 0.500
0.500 0.000 0.500
0.000 0.000 0.000
```

Output
D(E_F): 8.65 states/eV per cell
ΔH_f (0 K): 55.8 kJ/mol of formula units